## Mo3H2O10 (PBE+U)

Data for a geometry-optimized Mo3H2O10 structure.

a = 3.7690 Å, b = 11.3643 Å, c = 11.1717 Å
α = 120.94°, β = 90.00°, γ = 90.00°
Closest atoms and distances in Å follow each position.
Sites, in units of the cell vectors:
O (0.7500, 0.9980, 0.0902)  2 H 0.98
O (0.2500, 0.2832, 0.9852)  1 Mo 1.71, 1 H 1.88
O (0.2500, 0.4870, 0.7753)  1 Mo 1.76
O (0.2500, 0.9223, 0.4974)  2 Mo 2.00
O (0.2500, 0.0063, 0.2874)  1 Mo 1.70
O (0.2500, 0.2190, 0.7163)  1 Mo 1.75
O (0.7500, 0.7168, 0.0148)  1 Mo 1.71, 1 H 1.88
O (0.7500, 0.3012, 0.2674)  1 Mo 1.70
O (0.7500, 0.5130, 0.2247)  1 Mo 1.76
O (0.2500, 0.2745, 0.4959)  1 Mo 1.76
O (0.7500, 0.4922, 0.5729)  2 Mo 1.99
O (0.7500, 0.0777, 0.5026)  2 Mo 2.00
O (0.7500, 0.9937, 0.7126)  1 Mo 1.70
O (0.7500, 0.4240, 0.9190)  2 Mo 1.99
O (0.2500, 0.6988, 0.7326)  1 Mo 1.70
O (0.7500, 0.7810, 0.2837)  1 Mo 1.75
O (0.2500, 0.5760, 0.0810)  2 Mo 1.99
O (0.2500, 0.0020, 0.9098)  2 H 0.98
O (0.2500, 0.5078, 0.4271)  2 Mo 1.99
O (0.7500, 0.7255, 0.5041)  1 Mo 1.76
Mo (0.2500, 0.3593, 0.8868)  2 O 1.71-1.75
Mo (0.7500, 0.4752, 0.3591)  2 O 1.70-1.76
Mo (0.2500, 0.5248, 0.6409)  2 O 1.70-1.76
Mo (0.7500, 0.6407, 0.1132)  2 O 1.71-1.75
Mo (0.2500, 0.1058, 0.4640)  2 O 1.70-1.76
Mo (0.7500, 0.8942, 0.5360)  2 O 1.70-1.76
H (0.7500, 0.9886, 0.9978)  1 O 0.98
H (0.2500, 0.0114, 0.0022)  1 O 0.98
H (0.2501, 0.0966, 0.9309)  1 O 0.98
H (0.7499, 0.9034, 0.0691)  1 O 0.98

Properties
VASP energy ... -6.54 eV per atom
Total magnetization ... 0.00 μB/cell
Symmetry ... P2_1/m (11)
ρ ... 3.64 g cm⁻³